# K2NiPb

An optimized crystal structure of K2NiPb (PBE-GGA, the Alexandria database).

```
K2NiPb
1.0
0.000 3.868 3.868
3.868 0.000 3.868
3.868 3.868 0.000
K Ni Pb
2 1 1
Direct
0.000 0.000 0.000
0.250 0.250 0.250
0.750 0.750 0.750
0.500 0.500 0.500
```

Summary:
Calculated total energy (eV for the cell shown): -9.96
SG: F-43m
ΔH_f (0 K) (eV per atom): 0.432
Size of the total moment (μB/cell): 0.002
Theoretical density (g/cm3): 4.94